Record 1
Below is a PBEsol-optimized structure of ZnRuO2F, with properties calculated at the meta-GGA SCAN level.

Values from the calculation:
- Total energy: -13.65 eV/atom

abc: 3.7752 3.7752 4.2044
angles: 90.00 90.00 90.00
Fractional coordinates of all 5 atoms:
Ru: 0.0000 0.0000 0.0000
Zn: 0.5000 0.5000 0.5000
O: 0.0000 0.5000 0.0000
O: 0.5000 0.0000 0.0000
F: 0.0000 0.0000 0.5000

Record 2
Below is a PBEsol-optimized structure of ZnRuO2F, with properties calculated at the meta-GGA SCAN level.

Values from the calculation:
- Total energy: -13.33 eV/atom

abc: 3.8327 3.8327 3.8680
angles: 90.00 90.00 90.00
Fractional coordinates of all 5 atoms:
Ru: 0.5000 0.5000 0.5000
Zn: 0.0000 0.0000 0.0000
O: 0.0000 0.5000 0.0000
O: 0.5000 0.0000 0.0000
F: 0.0000 0.0000 0.5000